Entry 1:
Computed, not measured: crystalline Tb6Te3AsIr2 at its relaxed geometry at the GGA-PBE level of DFT.

Unit cell a=7.253 b=12.581 c=7.607 alpha=90.00 beta=108.80 gamma=90.00
Space group C2/m (No. 12)
One atom of each set of equivalent atoms:
Tb: 0.227 0.000 0.210 (multiplicity 4)
Tb: 0.242 0.328 0.211 (multiplicity 8)
Te: 0.000 0.000 0.500 (multiplicity 2)
Te: 0.000 0.337 0.500 (multiplicity 4)
As: 0.000 0.500 0.000 (multiplicity 2)
Ir: 0.000 0.167 0.000 (multiplicity 4)

electronic total energy	-6.150	eV/atom
crystal system	monoclinic
mass density	9.07	g cm⁻³
raw formation energy	-14.22	eV/f.u.

=====

Entry 2:
Computed, not measured: crystalline KMg2Ir2 at its relaxed geometry at the GGA-PBE level of DFT.

Unit cell a=8.372 b=8.372 c=2.733 alpha=90.00 beta=90.00 gamma=90.00
Space group P4/mbm (No. 127)
One atom of each set of equivalent atoms:
K: 0.000 0.000 0.000 (multiplicity 2)
Mg: 0.139 0.361 0.500 (multiplicity 4)
Ir: 0.152 0.652 0.000 (multiplicity 4)

electronic total energy	-4.358	eV/atom
ΔH_f (0 K)	0.0439	eV per atom
crystal system	tetragonal
mass density	8.19	g cm⁻³

=====

Entry 3:
Computed, not measured: crystalline NaPmCuGe at its relaxed geometry at the GGA-PBE level of DFT.

Unit cell a=7.031 b=7.031 c=7.031 alpha=90.00 beta=90.00 gamma=90.00
Space group F-43m (No. 216)
One atom of each set of equivalent atoms:
Na: 0.000 0.000 0.000 (multiplicity 4)
Pm: 0.000 0.000 0.500 (multiplicity 4)
Cu: 0.250 0.250 0.250 (multiplicity 4)
Ge: 0.250 0.250 0.750 (multiplicity 4)

electronic total energy	-3.901	eV/atom
ΔH_f (0 K)	-0.2049	eV per atom
crystal system	cubic
mass density	5.81	g cm⁻³